Here is a geometry-optimized CsBiW2O8 structure from Alexandria via LeMat-Bulk. Energies are from PBE+U.

```
12
Lattice="2.874 1.659 9.518 -2.874 1.659 9.518 0.000 -3.318 9.518" Properties=species:S:1:pos:R:3 pbc="T T T"
Cs 0.000 0.000 0.000
Bi 0.000 0.000 14.277
W 0.000 0.000 6.832
W 0.000 0.000 21.722
O -1.161 -1.410 12.795
O -0.641 -1.711 15.759
O 0.000 0.000 8.616
O -1.161 1.410 15.759
O -0.641 1.711 12.795
O 0.000 0.000 19.938
O 1.802 -0.301 12.795
O 1.802 0.301 15.759
```

symmetry = R32, No. 155
uncorrected energy = -80.7 eV/cell
V = 22.7 Å³/atom